Computed, not measured: crystalline Cu3PI at its relaxed geometry at the PBE level of DFT.

Calculated values
Uncorrected formation energy: 123.9 kJ per mole of atoms
Electronic total energy: -12.8 eV per cell
Energy relative to the lowest polymorph listed for this composition: 1047 meV per atom
Magnetic moment: 1.000 Bohr magnetons per cell

```
data_Cu3PI
_symmetry_space_group_name_H-M 'P 1'
_symmetry_Int_Tables_number 1
_symmetry_space_group_name_Hall 'P 1'
_cell_length_a 4.890
_cell_length_b 4.890
_cell_length_c 4.890
_cell_angle_alpha 90.00
_cell_angle_beta 90.00
_cell_angle_gamma 90.00
loop_
_atom_site_label
_atom_site_fract_x
_atom_site_fract_y
_atom_site_fract_z
_atom_site_occupancy
Cu1 0.000 0.000 0.500 1
Cu2 0.000 0.500 0.000 1
Cu3 0.500 0.000 0.000 1
P1 0.500 0.500 0.500 1
I1 0.000 0.000 0.000 1
```